1:
An optimized crystal structure of Li2In7Ga2, computed with PBE.

Cell and atoms, written as POSCAR:
```
Li2In7Ga2
1.0
-2.606 -3.338 -3.547
5.859 -3.673 3.387
-4.305 1.199 6.270
Li In Ga
2 7 2
Direct
0.000 0.140 0.860 Li
0.000 0.860 0.140 Li
0.683 0.937 0.417 In
0.317 0.583 0.063 In
0.317 0.063 0.583 In
0.683 0.417 0.937 In
0.500 0.000 0.000 In
0.530 0.700 0.700 In
0.470 0.300 0.300 In
0.028 0.359 0.359 Ga
0.972 0.641 0.641 Ga
```

2:
An optimized crystal structure of Li2In7Ga2, computed with PBE.

Cell and atoms, written as POSCAR:
```
Li2In7Ga2
1.0
-1.558 3.718 4.683
0.582 -5.595 4.626
6.108 0.884 0.311
Li In Ga
2 7 2
Direct
0.689 0.000 0.311 Li
0.311 0.000 0.689 Li
0.000 0.270 0.501 In
0.501 0.730 0.000 In
0.000 0.730 0.499 In
0.499 0.270 0.000 In
0.000 0.000 0.000 In
0.500 0.702 0.500 In
0.500 0.298 0.500 In
0.843 0.500 0.843 Ga
0.157 0.500 0.157 Ga
```

Tell me which of them is the most stable. Sure, it is 1.

1:
An optimized crystal structure of Li8InGa2, computed with PBE.

Cell and atoms, written as POSCAR:
```
Li8InGa2
1.0
-1.144 -0.398 -4.385
4.831 -1.635 -1.112
-1.452 -7.177 3.391
Li In Ga
8 1 2
Direct
0.598 0.461 0.196 Li
0.311 0.100 0.623 Li
0.136 0.163 0.272 Li
0.050 0.724 0.100 Li
0.864 0.837 0.728 Li
0.689 0.900 0.377 Li
0.402 0.539 0.804 Li
0.950 0.276 0.900 Li
0.500 0.000 0.000 In
0.224 0.620 0.448 Ga
0.776 0.380 0.552 Ga
```

2:
An optimized crystal structure of Li8InGa2, computed with PBE.

Cell and atoms, written as POSCAR:
```
Li8InGa2
1.0
0.859 -4.435 -1.095
6.623 -3.116 -1.264
3.860 -3.096 6.029
Li In Ga
8 1 2
Direct
0.793 0.092 0.271 Li
0.793 0.364 0.729 Li
0.290 0.440 0.000 Li
0.500 0.792 0.415 Li
0.500 0.208 0.585 Li
0.710 0.560 0.000 Li
0.207 0.636 0.271 Li
0.207 0.908 0.729 Li
0.500 0.000 0.000 In
0.000 0.318 0.365 Ga
0.000 0.682 0.635 Ga
```

Tell me which of them is the most stable. Sure, it is 1.

1:
An optimized crystal structure of LiMgInGa, computed with PBE.

Cell and atoms, written as POSCAR:
```
LiMgInGa
1.0
4.197 0.000 0.000
0.000 4.385 0.000
0.000 0.000 4.286
Li Mg In Ga
1 1 1 1
Direct
0.000 0.500 0.500 Li
0.500 0.000 0.500 Mg
0.500 0.500 0.000 In
0.000 0.000 0.000 Ga
```

2:
An optimized crystal structure of LiMgInGa, computed with PBE.

Cell and atoms, written as POSCAR:
```
LiMgInGa
1.0
-1.582 4.001 2.195
0.981 0.741 4.671
3.131 3.443 1.294
Mg Li Ga In
1 1 1 1
Direct
0.000 0.000 0.000 Mg
0.500 0.500 0.500 Li
0.250 0.250 0.250 Ga
0.750 0.750 0.750 In
```

Tell me which of them is the most stable. Sure, it is 1.

1:
An optimized crystal structure of LiInGaSn, computed with PBE.

Cell and atoms, written as POSCAR:
```
LiInGaSn
1.0
4.362 0.000 0.000
0.000 4.362 0.000
-2.181 -2.181 4.654
Li In Ga Sn
1 1 1 1
Direct
0.500 0.500 0.000 Li
0.000 0.000 0.000 In
0.750 0.250 0.500 Ga
0.250 0.750 0.500 Sn
```

2:
An optimized crystal structure of LiInGaSn, computed with PBE.

Cell and atoms, written as POSCAR:
```
LiInGaSn
1.0
-2.729 -4.113 -0.981
-2.136 -2.561 3.769
-4.997 0.094 0.593
Li Sn Ga In
1 1 1 1
Direct
0.000 0.000 0.000 Li
0.250 0.250 0.250 Sn
0.500 0.500 0.500 Ga
0.750 0.750 0.750 In
```

Tell me which of them is the most stable. Sure, it is 1.

1:
An optimized crystal structure of LuInGa2, computed with PBE.

Cell and atoms, written as POSCAR:
```
LuInGa2
1.0
-2.216 2.931 -0.155
-0.870 -0.470 3.542
4.935 3.822 1.720
Lu Ga In
1 2 1
Direct
0.500 0.500 0.000 Lu
0.000 0.000 0.740 Ga
0.000 0.000 0.260 Ga
0.500 0.500 0.500 In
```

2:
An optimized crystal structure of LuInGa2, computed with PBE.

Cell and atoms, written as POSCAR:
```
LuInGa2
1.0
-2.020 -2.638 -2.609
-1.317 -2.422 3.469
-3.662 2.472 0.336
Lu Ga In
1 2 1
Direct
0.500 0.500 0.500 Lu
0.000 0.000 0.500 Ga
0.000 0.500 0.000 Ga
0.500 0.000 0.000 In
```

Tell me which of them is the most stable. Sure, it is 2.

1:
An optimized crystal structure of LuIn2Ga, computed with PBE.

Cell and atoms, written as POSCAR:
```
LuIn2Ga
1.0
-0.610 4.489 0.969
-3.927 -0.925 1.810
1.947 -0.583 3.927
Lu Ga In
1 1 2
Direct
0.500 0.500 0.500 Lu
0.500 0.000 0.000 Ga
0.000 0.000 0.500 In
0.000 0.500 0.000 In
```

2:
An optimized crystal structure of LuIn2Ga, computed with PBE.

Cell and atoms, written as POSCAR:
```
LuIn2Ga
1.0
-0.819 -3.358 -1.488
-0.888 -1.298 3.419
-6.352 1.952 -0.908
Lu Ga In
1 1 2
Direct
0.500 0.500 0.500 Lu
0.500 0.500 0.000 Ga
0.000 0.000 0.773 In
0.000 0.000 0.227 In
```

3:
An optimized crystal structure of LuIn2Ga, computed with PBE.

Cell and atoms, written as POSCAR:
```
LuIn2Ga
1.0
-1.485 2.922 0.813
-2.787 0.005 1.908
4.723 1.603 9.884
Lu Ga In
1 1 2
Direct
0.000 0.000 0.000 Lu
0.500 0.500 0.500 Ga
0.095 0.095 0.716 In
0.905 0.905 0.284 In
```

Tell me which of them is the most stable. Sure, it is 1.